DFT (PBE) results for a geometry-optimized BeAlTcW structure.

Structure (extended XYZ):
```
4
Lattice="0.000 2.996 2.996 2.996 0.000 2.996 2.996 2.996 0.000" Properties=species:S:1:pos:R:3 pbc="T T T"
Be 4.494 4.494 4.494
Tc 2.996 2.996 2.996
W 0.000 0.000 0.000
Al 1.498 1.498 1.498
```

## Properties
SG: F-43m (216)
Relative energy among the computed polymorphs: 357 meV/atom
Magnetic moment: 0.27 μB/f.u.